PBE-GGA Na3InPb2, optimized geometry; calculated formation energy = -126 meV per atom; spin magnetization = 0.0000 μB per atom; space group = Fddd; N(E_F) = 0.55 states/eV per atom; distance to the lowest polymorph of the same formula = 0 meV/atom
1.0
-1.807 5.378 0.033
-2.473 -2.210 4.603
10.712 1.267 3.649
Na Pb In
6 4 2
Cartesian
7.047 2.690 3.324 Na
-1.148 -1.423 3.944 Na
2.057 3.327 3.659 Na
4.374 1.107 4.626 Na
7.580 5.857 4.340 Na
-0.616 1.744 4.961 Na
-0.756 2.391 1.701 Pb
7.188 2.043 6.584 Pb
1.665 -0.487 5.903 Pb
4.767 4.921 2.382 Pb
1.524 0.160 2.643 In
4.907 4.274 5.642 In


PBE-GGA Rb2PrMnTe4, optimized geometry; spin magnetization = 0.5012 μB per atom; space group = Imma; N(E_F) = 0.20 states/eV per atom; raw formation energy = -80.36 kJ/mol of atoms
1.0
9.517 -0.183 -0.241
-0.189 9.517 -0.241
-4.709 -4.712 6.843
Rb Te Pr Mn
4 8 2 2
Cartesian
-0.139 4.714 6.482 Rb
-0.045 -0.045 6.602 Rb
7.163 -2.539 3.181 Rb
2.404 -2.447 3.301 Rb
1.909 2.116 0.346 Te
2.710 2.507 6.016 Te
-2.695 2.392 6.457 Te
0.195 0.401 2.835 Te
4.424 4.222 3.527 Te
7.314 2.230 -0.096 Te
4.724 0.109 3.326 Te
-0.105 4.513 3.036 Te
-2.449 2.402 3.301 Pr
9.423 4.576 -0.361 Pr
2.310 2.311 3.181 Mn
-4.898 4.805 6.602 Mn